Below is a relaxed structure of PuNpMnOs, with properties calculated at the GGA-PBE level.

Computed properties:
VASP energy, eV for the cell shown: -188.9
Calculated formation energy, eV/f.u.: 0.457

a = 6.7343 Å, b = 6.7343 Å, c = 6.7343 Å
α = 90.00°, β = 90.00°, γ = 90.00°
Space group F-43m (No. 216)
Inequivalent atoms, fractional coordinates:
Pu (0.0000, 0.0000, 0.0000)
Np (0.0000, 0.0000, 0.5000)
Mn (0.2500, 0.2500, 0.2500)
Os (0.2500, 0.2500, 0.7500)